1.
Here is crystalline LiUGe2Pt2 at its relaxed geometry from Alexandria via LeMat-Bulk. Energies are from PBE-GGA.

```
LiUGe2Pt2
1.0
4.363 0.000 0.000
-2.182 3.779 0.000
0.000 0.000 6.398
Li U Ge Pt
1 1 2 2
Cartesian
0.000 0.000 3.199 Li
0.000 0.000 0.000 U
2.182 1.260 1.935 Ge
0.000 2.519 4.463 Ge
2.182 1.260 4.690 Pt
0.000 2.519 1.708 Pt
```

- DOS(E_F): 1.1127 states/eV per atom
- Formation energy: -625 meV per atom
- Crystal system: trigonal
- Energy: -6.378 eV per atom

---

2.
Here is crystalline LiGePtW2 at its relaxed geometry from Alexandria via LeMat-Bulk. Energies are from PBE-GGA.

```
LiGePtW2
1.0
-0.612 -1.452 3.958
4.143 -0.651 0.402
0.473 3.950 1.523
Ge W Pt Li
1 2 1 1
Cartesian
2.002 0.924 2.941 Ge
0.236 1.975 0.761 W
-0.306 -0.726 1.979 W
2.072 -0.325 0.201 Pt
0.000 0.000 0.000 Li
```

- DOS(E_F): 0.9958 states/eV per atom
- Formation energy: 1220 meV per atom
- Crystal system: tetragonal
- Energy: -6.475 eV per atom

---

3.
Here is crystalline LiY2Ge4Pt3 at its relaxed geometry from Alexandria via LeMat-Bulk. Energies are from PBE-GGA.

```
LiY2Ge4Pt3
1.0
4.145 0.000 0.000
0.000 4.145 0.000
0.000 0.000 10.825
Li Y Ge Pt
1 2 4 3
Cartesian
2.073 2.073 5.412 Li
2.073 0.000 2.826 Y
0.000 2.073 7.999 Y
2.073 2.073 0.000 Ge
0.000 0.000 0.000 Ge
2.073 0.000 6.871 Ge
0.000 2.073 3.954 Ge
0.000 0.000 5.412 Pt
2.073 0.000 9.334 Pt
0.000 2.073 1.490 Pt
```

- DOS(E_F): 0.4738 states/eV per atom
- Formation energy: -850 meV per atom
- Crystal system: tetragonal
- Energy: -5.993 eV per atom

---

4.
Here is crystalline Li2YGePt at its relaxed geometry from Alexandria via LeMat-Bulk. Energies are from PBE-GGA.

```
Li2YGePt
1.0
4.522 0.000 0.000
0.000 5.479 0.000
0.000 0.000 4.522
Y Ge Pt Li
1 1 1 2
Cartesian
0.000 2.740 0.000 Y
0.000 0.000 0.000 Ge
2.261 2.740 2.261 Pt
0.000 0.000 2.261 Li
2.261 0.000 0.000 Li
```

- DOS(E_F): 0.6547 states/eV per atom
- Formation energy: -33 meV per atom
- Crystal system: tetragonal
- Energy: -4.223 eV per atom

---

5.
Here is crystalline LiYGePt at its relaxed geometry from Alexandria via LeMat-Bulk. Energies are from PBE-GGA.

```
LiYGePt
1.0
-3.845 -1.056 -2.350
-0.888 -4.400 -1.128
-3.441 -2.277 2.095
Y Ge Pt Li
1 1 1 1
Cartesian
0.000 0.000 0.000 Y
-4.087 -3.866 -0.692 Ge
-2.043 -1.933 -0.346 Pt
-6.130 -5.800 -1.037 Li
```

- DOS(E_F): 0.0115 states/eV per atom
- Formation energy: -834 meV per atom
- Crystal system: cubic
- Energy: -5.593 eV per atom

---

6.
Here is crystalline Li2ZnGe3Pt4 at its relaxed geometry from Alexandria via LeMat-Bulk. Energies are from PBE-GGA.

```
Li2ZnGe3Pt4
1.0
3.965 0.000 0.000
0.000 3.965 0.000
0.000 0.000 11.233
Li Zn Ge Pt
2 1 3 4
Cartesian
1.983 0.000 2.966 Li
0.000 1.983 8.267 Li
1.983 1.983 5.616 Zn
0.000 0.000 5.616 Ge
1.983 0.000 9.655 Ge
0.000 1.983 1.577 Ge
1.983 1.983 0.000 Pt
0.000 0.000 0.000 Pt
1.983 0.000 7.242 Pt
0.000 1.983 3.991 Pt
```

- DOS(E_F): 0.4637 states/eV per atom
- Formation energy: -514 meV per atom
- Crystal system: tetragonal
- Energy: -4.826 eV per atom

---

7.
Here is crystalline LiPu2Ge2 at its relaxed geometry from Alexandria via LeMat-Bulk. Energies are from PBE-GGA.

```
LiPu2Ge2
1.0
4.552 0.000 0.000
0.000 8.761 0.000
-2.276 -4.380 5.151
Li Pu Ge
2 4 4
Cartesian
3.414 4.380 0.000 Li
1.138 4.380 0.000 Li
2.276 3.286 4.702 Pu
0.000 1.094 0.450 Pu
2.276 7.666 0.450 Pu
0.000 -3.286 4.702 Pu
0.000 1.819 3.241 Ge
2.276 2.561 1.910 Ge
0.000 6.200 1.910 Ge
2.276 -1.819 3.241 Ge
```

- DOS(E_F): 1.2895 states/eV per atom
- Formation energy: 167 meV per atom
- Crystal system: orthorhombic
- Energy: -7.796 eV per atom

---

8.
Here is crystalline Li2PuGe2 at its relaxed geometry from Alexandria via LeMat-Bulk. Energies are from PBE-GGA.

```
Li2PuGe2
1.0
-2.907 -2.802 0.404
2.400 -2.747 -1.782
4.154 -2.868 10.010
Li Pu Ge
4 2 4
Cartesian
4.693 -5.259 7.489 Li
-1.046 -3.158 1.142 Li
1.950 -2.821 4.661 Li
1.697 -5.596 3.970 Li
2.051 -3.436 1.120 Pu
1.595 -4.981 7.512 Pu
3.800 -4.643 5.335 Ge
-0.153 -3.774 3.296 Ge
4.025 -4.254 9.665 Ge
-0.378 -4.163 -1.034 Ge
```

- DOS(E_F): 2.3288 states/eV per atom
- Formation energy: -297 meV per atom
- Crystal system: tetragonal
- Offset from the most stable computed form: 71.1 meV/atom
- Energy: -5.776 eV per atom

---

9.
Here is crystalline Li2Pu3Ge3 at its relaxed geometry from Alexandria via LeMat-Bulk. Energies are from PBE-GGA.

```
Li2Pu3Ge3
1.0
5.410 0.000 0.000
0.000 8.422 0.000
0.000 -4.211 7.293
Li Pu Ge
4 6 6
Cartesian
0.000 0.000 4.862 Li
2.705 4.211 2.431 Li
0.000 4.211 2.431 Li
2.705 0.000 4.862 Li
4.057 2.035 0.000 Pu
4.057 3.194 5.531 Pu
4.057 -1.017 1.762 Pu
1.352 6.387 0.000 Pu
1.352 1.017 1.762 Pu
1.352 -3.194 5.531 Pu
4.057 4.942 0.000 Ge
4.057 1.740 3.013 Ge
4.057 -2.471 4.280 Ge
1.352 3.479 0.000 Ge
1.352 2.471 4.280 Ge
1.352 -1.740 3.013 Ge
```

- DOS(E_F): 2.9164 states/eV per atom
- Formation energy: -277 meV per atom
- Crystal system: hexagonal
- Energy: -7.861 eV per atom

---

10.
Here is crystalline Li2PuGe2 at its relaxed geometry from Alexandria via LeMat-Bulk. Energies are from PBE-GGA.

```
Li2PuGe2
1.0
0.204 -3.339 2.329
4.003 0.589 0.494
-3.152 4.575 3.268
Li Pu Ge
2 1 2
Cartesian
-0.422 -0.069 3.504 Li
1.477 1.895 2.587 Li
0.000 0.000 0.000 Pu
1.880 -0.691 2.411 Ge
-0.825 2.517 3.680 Ge
```

- DOS(E_F): 2.3610 states/eV per atom
- Formation energy: -369 meV per atom
- Crystal system: tetragonal
- Offset from the most stable computed form: 0.0 meV/atom
- Energy: -5.847 eV per atom

---

11.
Here is crystalline LiPuGe2 at its relaxed geometry from Alexandria via LeMat-Bulk. Energies are from PBE-GGA.

```
LiPuGe2
1.0
-4.682 -0.696 0.832
-1.610 -4.378 1.155
-1.541 -0.894 4.464
Ge Li Pu
2 1 1
Cartesian
-1.958 -1.492 1.612 Ge
-5.875 -4.476 4.838 Ge
0.000 0.000 0.000 Li
-3.916 -2.984 3.225 Pu
```

- DOS(E_F): 2.4476 states/eV per atom
- Formation energy: -323 meV per atom
- Crystal system: cubic
- Offset from the most stable computed form: 108.9 meV/atom
- Energy: -6.693 eV per atom

---

12.
Here is crystalline LiPuGe4 at its relaxed geometry from Alexandria via LeMat-Bulk. Energies are from PBE-GGA.

```
LiPuGe4
1.0
5.516 0.000 0.000
2.758 4.777 0.000
2.758 1.592 4.504
Ge Li Pu
4 1 1
Cartesian
5.516 3.185 0.563 Ge
5.516 1.593 2.815 Ge
6.895 3.981 2.815 Ge
4.137 3.981 2.815 Ge
0.000 0.000 0.000 Li
2.758 1.592 1.126 Pu
```

- DOS(E_F): 1.6383 states/eV per atom
- Formation energy: -156 meV per atom
- Crystal system: cubic
- Energy: -5.942 eV per atom

---

- Look up the energy of the tenth one.
  -5.847 eV per atom

---

Please write out number 9 again, unchanged.
Here is crystalline Li2Pu3Ge3 at its relaxed geometry from Alexandria via LeMat-Bulk. Energies are from PBE-GGA.

```
Li2Pu3Ge3
1.0
5.410 0.000 0.000
0.000 8.422 0.000
0.000 -4.211 7.293
Li Pu Ge
4 6 6
Cartesian
0.000 0.000 4.862 Li
2.705 4.211 2.431 Li
0.000 4.211 2.431 Li
2.705 0.000 4.862 Li
4.057 2.035 0.000 Pu
4.057 3.194 5.531 Pu
4.057 -1.017 1.762 Pu
1.352 6.387 0.000 Pu
1.352 1.017 1.762 Pu
1.352 -3.194 5.531 Pu
4.057 4.942 0.000 Ge
4.057 1.740 3.013 Ge
4.057 -2.471 4.280 Ge
1.352 3.479 0.000 Ge
1.352 2.471 4.280 Ge
1.352 -1.740 3.013 Ge
```

- DOS(E_F): 2.9164 states/eV per atom
- Formation energy: -277 meV per atom
- Crystal system: hexagonal
- Energy: -7.861 eV per atom

---

- Which of these has the lowest DOS(E_F)?
  LiYGePt

---

Please write out number 11 again, unchanged.
Here is crystalline LiPuGe2 at its relaxed geometry from Alexandria via LeMat-Bulk. Energies are from PBE-GGA.

```
LiPuGe2
1.0
-4.682 -0.696 0.832
-1.610 -4.378 1.155
-1.541 -0.894 4.464
Ge Li Pu
2 1 1
Cartesian
-1.958 -1.492 1.612 Ge
-5.875 -4.476 4.838 Ge
0.000 0.000 0.000 Li
-3.916 -2.984 3.225 Pu
```

- DOS(E_F): 2.4476 states/eV per atom
- Formation energy: -323 meV per atom
- Crystal system: cubic
- Offset from the most stable computed form: 108.9 meV/atom
- Energy: -6.693 eV per atom